Entry 1:
VASP calculation (meta-GGA SCAN) on a PBEsol-optimized structure of CaHfSe2N.

Structure (CIF):
```
data_CaHfSe2N
_chemical_formula_sum 'Ca1 Hf1 Se2 N1'
_cell_length_a 5.1719
_cell_length_b 5.1719
_cell_length_c 3.9759
_cell_angle_alpha 90.00
_cell_angle_beta 90.00
_cell_angle_gamma 90.00
_symmetry_space_group_name_H-M 'P 4/m m m'
_symmetry_Int_Tables_number 123
_symmetry_space_group_name_Hall '-P 4 2'
loop_
_atom_site_label
_atom_site_fract_x
_atom_site_fract_y
_atom_site_fract_z
Ca1 0.0000 0.0000 0.0000
Hf1 0.5000 0.5000 0.5000
Se1 0.0000 0.5000 0.0000
N1 0.0000 0.0000 0.5000
```

Summary:
Crystal system: tetragonal
Energy relative to the elements, uncorrected: 0.498 eV per atom

Entry 2:
VASP calculation (meta-GGA SCAN) on a PBEsol-optimized structure of NaCaHf3.

Structure (CIF):
```
data_NaCaHf3
_chemical_formula_sum 'Na1 Ca1 Hf3'
_cell_length_a 5.0767
_cell_length_b 5.0767
_cell_length_c 5.0767
_cell_angle_alpha 90.00
_cell_angle_beta 90.00
_cell_angle_gamma 90.00
_symmetry_space_group_name_H-M 'P m -3 m'
_symmetry_Int_Tables_number 221
_symmetry_space_group_name_Hall '-P 4 2 3'
loop_
_atom_site_label
_atom_site_fract_x
_atom_site_fract_y
_atom_site_fract_z
Na1 0.0000 0.0000 0.0000
Ca1 0.5000 0.5000 0.5000
Hf1 0.0000 0.0000 0.5000
```

Summary:
Crystal system: cubic
Formation energy from the elements: 1.508 eV/atom

Entry 3:
VASP calculation (meta-GGA SCAN) on a PBEsol-optimized structure of NaCa2Hf.

Structure (CIF):
```
data_NaCa2Hf
_chemical_formula_sum 'Na4 Ca8 Hf4'
_cell_length_a 7.9108
_cell_length_b 7.9108
_cell_length_c 7.9108
_cell_angle_alpha 90.00
_cell_angle_beta 90.00
_cell_angle_gamma 90.00
_symmetry_space_group_name_H-M 'F m -3 m'
_symmetry_Int_Tables_number 225
_symmetry_space_group_name_Hall '-F 4 2 3'
loop_
_atom_site_label
_atom_site_fract_x
_atom_site_fract_y
_atom_site_fract_z
Na1 0.0000 0.0000 0.0000
Ca1 0.2500 0.2500 0.2500
Hf1 0.0000 0.0000 0.5000
```

Summary:
Crystal system: cubic
Formation energy from the elements: 0.670 eV/atom

Entry 4:
VASP calculation (meta-GGA SCAN) on a PBEsol-optimized structure of Ca2HfNbO.

Structure (CIF):
```
data_Ca2HfNbO
_chemical_formula_sum 'Ca2 Hf1 Nb1 O1'
_cell_length_a 6.0737
_cell_length_b 6.0737
_cell_length_c 3.8205
_cell_angle_alpha 90.00
_cell_angle_beta 90.00
_cell_angle_gamma 90.00
_symmetry_space_group_name_H-M 'P 4/m m m'
_symmetry_Int_Tables_number 123
_symmetry_space_group_name_Hall '-P 4 2'
loop_
_atom_site_label
_atom_site_fract_x
_atom_site_fract_y
_atom_site_fract_z
Ca1 0.0000 0.5000 0.0000
Hf1 0.0000 0.0000 0.5000
Nb1 0.5000 0.5000 0.0000
O1 0.5000 0.5000 0.5000
```

Summary:
Crystal system: tetragonal
Energy relative to the elements, uncorrected: 0.317 eV per atom

| no. | E (eV/atom) | Fermi-level density of states (states/eV/f.u.) |
| --- | --- | --- |
| 1 | -23.859 | 1.96 |
| 2 | -38.871 | 7.04 |
| 3 | -20.883 | 4.80 |
| 4 | -23.955 | 3.90 |